w:
Mn2ZnPb PBE relaxed; total magnetic moment = 7.5 μB per cell; theoretical density = 8.5 g cm⁻³
1.0
-4.264 7.491 2.736
-6.623 6.015 1.316
-5.914 5.336 4.282
Mn Pb Zn
2 1 1
Direct
0.010 0.010 0.010
0.490 0.490 0.490
0.250 0.250 0.250
0.750 0.750 0.750

---

x:
Mn2ZnPb PBE relaxed; total magnetic moment = 6.8 μB per cell; theoretical density = 9.0 g cm⁻³
1.0
-3.604 -1.474 2.521
0.500 -0.736 4.552
-2.022 2.854 3.047
Mn Pb Zn
2 1 1
Direct
0.000 0.000 0.000
0.750 0.750 0.750
0.500 0.500 0.500
0.250 0.250 0.250

---

On energetic grounds, w is preferred over the next structure by 132 meV/atom.

---

w:
Mn2ZnPb PBE relaxed; total magnetic moment = 7.0 μB per cell; theoretical density = 9.2 g cm⁻³
1.0
-2.115 -2.788 2.989
-3.479 -2.666 -1.405
0.570 -4.557 -0.304
Pb Zn Mn
1 1 2
Direct
0.500 0.500 0.500
0.000 0.000 0.000
0.250 0.250 0.250
0.750 0.750 0.750

---

x:
Mn2ZnPb PBE relaxed; total magnetic moment = 6.5 μB per cell; theoretical density = 9.3 g cm⁻³
1.0
-0.608 -1.011 5.090
-1.855 -3.976 2.837
2.875 -2.278 1.406
Mn Pb Zn
2 1 1
Direct
0.000 0.000 0.000
0.750 0.750 0.750
0.500 0.500 0.500
0.250 0.250 0.250

---

y:
Mn2ZnPb PBE relaxed; total magnetic moment = 7.2 μB per cell; theoretical density = 9.0 g cm⁻³
1.0
3.415 0.000 0.000
0.000 3.151 0.015
0.000 3.115 6.581
Mn Pb Zn
2 1 1
Direct
0.000 0.045 0.956
0.000 0.455 0.544
0.500 0.250 0.250
0.500 0.750 0.750

---

z:
Mn2ZnPb PBE relaxed; total magnetic moment = 0.0 μB per cell; theoretical density = 9.3 g cm⁻³
1.0
3.881 0.000 0.000
0.000 3.881 0.000
1.940 1.940 9.039
Pb Zn Mn
2 2 4
Direct
0.000 0.000 0.000
0.750 0.250 0.500
0.500 0.500 0.000
0.250 0.750 0.500
0.518 0.125 0.250
0.232 0.625 0.250
0.375 0.482 0.750
0.875 0.768 0.750

---

On energetic grounds, y is preferred over the next structure by 7 meV/atom.

---

w:
Mn2ZnPb PBE relaxed; total magnetic moment = 6.8 μB per cell; theoretical density = 8.7 g cm⁻³
1.0
5.248 -0.064 -0.188
-2.459 4.806 0.083
0.330 0.980 2.887
Mn Pb Zn
2 1 1
Direct
0.000 0.000 0.000
0.500 0.000 0.500
0.000 0.500 0.500
0.500 0.500 0.000

---

x:
Mn2ZnPb PBE relaxed; total magnetic moment = 7.0 μB per cell; theoretical density = 9.1 g cm⁻³
1.0
4.867 -0.005 0.000
-1.452 4.645 0.000
0.000 0.000 3.101
Mn Pb Zn
2 1 1
Direct
0.000 0.000 0.000
0.500 0.500 0.000
0.500 0.000 0.500
0.000 0.500 0.500

---

y:
Mn2ZnPb PBE relaxed; total magnetic moment = 7.1 μB per cell; theoretical density = 8.7 g cm⁻³
1.0
-4.683 0.531 -0.402
-4.007 -2.513 0.026
-1.508 0.379 5.078
Mn Pb Zn
2 1 1
Direct
0.992 0.992 0.040
0.508 0.508 0.460
0.750 0.750 0.750
0.250 0.250 0.250

---

On energetic grounds, y is preferred over the next structure by 16 meV/atom.

---

w:
MnZnPb PBE relaxed; total magnetic moment = 3.8 μB per cell; theoretical density = 8.8 g cm⁻³
1.0
-3.826 -1.354 1.877
3.425 -2.847 -0.399
1.214 1.011 3.204
Mn Pb Zn
1 1 1
Direct
0.000 0.000 0.895
0.333 0.667 0.337
0.667 0.333 0.769

---

x:
MnZnPb PBE relaxed; total magnetic moment = 3.4 μB per cell; theoretical density = 9.1 g cm⁻³
1.0
6.157 0.420 0.000
4.174 4.545 0.000
-5.165 -2.482 2.289
Mn Pb Zn
1 1 1
Direct
0.024 0.024 0.000
0.341 0.341 0.000
0.635 0.635 0.000

---

y:
MnZnPb PBE relaxed; total magnetic moment = 3.5 μB per cell; theoretical density = 8.4 g cm⁻³
1.0
4.514 0.000 0.000
2.257 3.909 0.000
2.257 1.303 3.686
Mn Pb Zn
1 1 1
Direct
0.750 0.750 0.750
0.000 0.000 0.000
0.500 0.500 0.500

---

On energetic grounds, x is preferred over the next structure by 20 meV/atom.

---

w:
Zr3MnPb PBE relaxed; total magnetic moment = 0.2 μB per cell; theoretical density = 5.9 g cm⁻³
1.0
-0.531 5.298 -0.161
-2.253 -0.372 -4.812
-4.797 -0.412 2.278
Pb Mn Zr
1 1 3
Direct
0.000 0.000 0.000
0.500 0.500 0.500
0.000 0.500 0.000
0.000 0.000 0.500
0.500 0.000 0.000

---

x:
Zr3MnPb PBE relaxed; total magnetic moment = 0.0 μB per cell; theoretical density = 7.7 g cm⁻³
1.0
4.861 0.000 0.000
0.000 4.861 0.000
0.000 0.000 4.861
Pb Mn Zr
1 1 3
Direct
0.500 0.500 0.500
0.000 0.000 0.000
0.000 0.500 0.000
0.000 0.000 0.500
0.500 0.000 0.000

---

On energetic grounds, x is preferred over the next structure by 1655 meV/atom.

---

w:
ZrMn3Pb PBE relaxed; total magnetic moment = 0.0 μB per cell; theoretical density = 7.5 g cm⁻³
1.0
-1.922 1.858 3.853
3.773 -1.253 2.486
2.015 4.119 -0.982
Pb Mn Zr
1 3 1
Direct
0.000 0.000 0.000
0.000 0.500 0.000
0.000 0.000 0.500
0.500 0.000 0.000
0.500 0.500 0.500

---

x:
ZrMn3Pb PBE relaxed; total magnetic moment = 9.4 μB per cell; theoretical density = 6.5 g cm⁻³
1.0
4.903 0.000 0.000
0.000 4.903 0.000
0.000 0.000 4.903
Pb Mn Zr
1 3 1
Direct
0.500 0.500 0.500
0.000 0.500 0.000
0.000 0.000 0.500
0.500 0.000 0.000
0.000 0.000 0.000

---

On energetic grounds, x is preferred over the next structure by 797 meV/atom.